# Rb2Na2Ga | the Alexandria database | PBE-GGA | optimized geometry
data_Rb2Na2Ga
_chemical_formula_sum 'Rb2 Na2 Ga1'
_space_group_name_H-M_alt 'P 1'
_space_group_IT_number 1
_space_group_name_Hall 'P 1'
_cell_length_a 4.575
_cell_length_b 4.575
_cell_length_c 12.214
_cell_angle_alpha 79.21
_cell_angle_beta 79.21
_cell_angle_gamma 90.00
loop_
_atom_site_label
_atom_site_type_symbol
_atom_site_fract_x
_atom_site_fract_y
_atom_site_fract_z
Na1 Na 0.750 0.250 0.500
Na2 Na 0.250 0.750 0.500
Ga1 Ga 0.000 0.000 0.000
Rb1 Rb 0.411 0.411 0.179
Rb2 Rb 0.589 0.589 0.821
# Distance to the lowest polymorph of the same formula   60.8 meV/atom
# Energy of formation   0.1927 eV per atom
# Total moment   0.00 μB/cell